# Nd6SmTm2 | the Alexandria database | PBE | relaxed
data_Nd6SmTm2
_cell_length_a 16.4864
_cell_length_b 11.8620
_cell_length_c 6.2555
_cell_angle_alpha 90.00
_cell_angle_beta 96.22
_cell_angle_gamma 90.00
_space_group_name_H-M_alt 'C 1 2/c 1'
_space_group_IT_number 15
loop_
_space_group_symop_operation_xyz
'x,y,z'
'-x,-y,-z'
'-x,y,-z+1/2'
'x,-y,z+1/2'
'x+1/2,y+1/2,z'
'-x+1/2,-y+1/2,-z'
'-x+1/2,y+1/2,-z+1/2'
'x+1/2,-y+1/2,z+1/2'
loop_
_atom_site_label
_atom_site_type_symbol
_atom_site_fract_x
_atom_site_fract_y
_atom_site_fract_z
Nd1 Nd 0.0480 0.1393 0.0141
Nd2 Nd 0.1212 0.3594 0.3188
Nd3 Nd 0.2172 0.3590 0.8460
Sm1 Sm 0.0000 0.3998 0.7500
Tm1 Tm 0.1656 0.1003 0.5855
# E: -4.614 eV/atom
# DFT formation energy: 83 meV/atom
# energy above the lowest structure with this stoichiometry: 0.82 eV per formula unit